{"formula": "La6GaOs2I3", "functional": "GGA-PBE", "state": "relaxed", "raw_formation_energy_ev_per_atom": -0.770, "vol_a3_per_cell": 399, "rho_g_cm3": 6.923, "magnetic_moment_mub_per_fu": 0.0, "lattice_angstrom": [[3.747, -6.490, 0.000], [3.747, 6.490, 0.000], [-2.512, 0.000, 8.207]], "species": ["La", "La", "La", "La", "La", "La", "Ga", "Os", "Os", "I", "I", "I"], "frac_coords": [[0.080, 0.437, 0.811], [0.206, 0.206, 0.188], [0.437, 0.080, 0.811], [0.563, 0.920, 0.189], [0.794, 0.794, 0.812], [0.920, 0.563, 0.189], [0.500, 0.500, 0.000], [0.167, 0.833, 0.000], [0.833, 0.167, 0.000], [0.000, 0.000, 0.500], [0.337, 0.663, 0.500], [0.663, 0.337, 0.500]]}